{"formula": "SrAl2Ag2Hg", "functional": "GGA-PBE", "state": "relaxed", "lattice_angstrom": [[-0.211, 1.320, -4.826], [-2.084, -4.414, -1.117], [-5.592, 2.411, 0.904]], "species": ["Sr", "Al", "Al", "Ag", "Ag", "Hg"], "frac_coords": [[0.000, 0.000, 0.500], [0.500, 0.000, 0.000], [0.000, 0.500, 0.000], [0.500, 0.500, 0.741], [0.500, 0.500, 0.259], [0.000, 0.000, 0.000]], "space_group": "P4/mmm (123)", "e_form_ev_per_atom": 0.08}

---

{"formula": "Sr2AlAgHg6", "functional": "GGA-PBE", "state": "relaxed", "lattice_angstrom": [[7.754, 0.103, 0.491], [0.154, 6.952, 1.567], [4.299, 4.567, 6.524]], "species": ["Sr", "Sr", "Al", "Ag", "Hg", "Hg", "Hg", "Hg", "Hg", "Hg"], "frac_coords": [[0.789, 0.243, 0.470], [0.211, 0.757, 0.530], [0.000, 0.000, 0.000], [0.500, 0.500, 0.000], [0.335, 0.275, 0.494], [0.825, 0.741, 0.951], [0.281, 0.787, 0.103], [0.719, 0.213, 0.897], [0.175, 0.259, 0.049], [0.665, 0.725, 0.506]], "space_group": "P-1 (2)", "e_form_ev_per_atom": -0.21}

---

{"formula": "SrAl2AgHg", "functional": "GGA-PBE", "state": "relaxed", "lattice_angstrom": [[-1.650, -2.048, -3.632], [-0.837, -3.680, 2.455], [-4.058, 4.908, 1.844]], "species": ["Sr", "Al", "Al", "Ag", "Hg"], "frac_coords": [[0.444, 0.444, 0.887], [0.691, 0.191, 0.382], [0.065, 0.065, 0.130], [0.178, 0.678, 0.355], [0.835, 0.835, 0.670]], "space_group": "Imm2 (44)", "e_form_ev_per_atom": -0.26}

---

{"formula": "Sr2Al4Ag3Hg", "functional": "GGA-PBE", "state": "relaxed", "lattice_angstrom": [[-3.476, -2.880, -0.145], [1.593, -1.729, -3.856], [5.932, -7.453, 5.792]], "species": ["Sr", "Sr", "Al", "Al", "Al", "Al", "Ag", "Ag", "Ag", "Hg"], "frac_coords": [[0.500, 0.000, 0.248], [0.000, 0.500, 0.752], [0.500, 0.500, 0.000], [0.000, 0.000, 0.000], [0.500, 0.000, 0.635], [0.000, 0.500, 0.365], [0.000, 0.000, 0.500], [0.500, 0.000, 0.871], [0.000, 0.500, 0.129], [0.500, 0.500, 0.500]], "space_group": "P-4m2 (115)", "e_form_ev_per_atom": -0.26}

---

{"formula": "SrAlAgHg", "functional": "GGA-PBE", "state": "relaxed", "lattice_angstrom": [[5.152, 0.000, 0.000], [2.576, 4.461, 0.000], [2.576, 1.487, 4.206]], "species": ["Sr", "Hg", "Ag", "Al"], "frac_coords": [[0.500, 0.500, 0.500], [0.750, 0.750, 0.750], [0.250, 0.250, 0.250], [0.000, 0.000, 0.000]], "space_group": "F-43m (216)", "e_form_ev_per_atom": -0.18}

---

{"formula": "Tb2Al4Ag3Hg", "functional": "GGA-PBE", "state": "relaxed", "lattice_angstrom": [[4.334, 0.000, 0.000], [0.000, 4.334, 0.000], [0.000, 0.000, 10.945]], "species": ["Tb", "Tb", "Al", "Al", "Al", "Al", "Ag", "Ag", "Ag", "Hg"], "frac_coords": [[0.500, 0.000, 0.246], [0.000, 0.500, 0.754], [0.500, 0.500, 0.000], [0.000, 0.000, 0.000], [0.500, 0.000, 0.643], [0.000, 0.500, 0.357], [0.000, 0.000, 0.500], [0.500, 0.000, 0.869], [0.000, 0.500, 0.131], [0.500, 0.500, 0.500]], "space_group": "P-4m2 (115)", "e_form_ev_per_atom": -0.31}

---

{"formula": "Tb4AlAg2Hg", "functional": "GGA-PBE", "state": "relaxed", "lattice_angstrom": [[-2.730, 1.067, 4.286], [-5.081, 1.012, -0.344], [-4.317, -7.582, 2.282]], "species": ["Tb", "Tb", "Tb", "Tb", "Al", "Ag", "Ag", "Hg"], "frac_coords": [[0.376, 0.376, 0.872], [0.874, 0.874, 0.377], [0.126, 0.126, 0.623], [0.624, 0.624, 0.128], [0.500, 0.500, 0.500], [0.753, 0.753, 0.741], [0.247, 0.247, 0.259], [0.000, 0.000, 0.000]], "space_group": "R-3m (166)", "e_form_ev_per_atom": -0.37}

---

{"formula": "AlAg2HgTe4", "functional": "GGA-PBE", "state": "relaxed", "lattice_angstrom": [[-2.561, 4.189, -3.982], [2.312, -3.250, -4.904], [-5.367, -4.039, 4.220]], "species": ["Al", "Ag", "Ag", "Hg", "Te", "Te", "Te", "Te"], "frac_coords": [[0.500, 0.500, 0.000], [0.750, 0.250, 0.500], [0.250, 0.750, 0.500], [0.000, 0.000, 0.000], [0.612, 0.612, 0.752], [0.388, 0.859, 0.248], [0.859, 0.388, 0.248], [0.141, 0.141, 0.752]], "space_group": "I-42m (121)", "e_form_raw_mev_per_atom": -202}

---

{"formula": "ThAlAgHg", "functional": "GGA-PBE", "state": "relaxed", "lattice_angstrom": [[-0.196, 4.152, -2.900], [-3.631, 3.454, 0.761], [1.176, 4.522, 1.965]], "species": ["Ag", "Hg", "Th", "Al"], "frac_coords": [[0.250, 0.250, 0.250], [0.750, 0.750, 0.750], [0.500, 0.500, 0.500], [0.000, 0.000, 0.000]], "space_group": "F-43m (216)", "e_form_ev_per_atom": -0.16}

---

{"formula": "Th2Al4Ag3Hg", "functional": "GGA-PBE", "state": "relaxed", "lattice_angstrom": [[4.423, 0.000, 0.000], [0.000, 4.423, 0.000], [0.000, 0.000, 10.781]], "species": ["Th", "Th", "Al", "Al", "Al", "Al", "Ag", "Ag", "Ag", "Hg"], "frac_coords": [[0.500, 0.000, 0.245], [0.000, 0.500, 0.755], [0.500, 0.500, 0.000], [0.000, 0.000, 0.000], [0.500, 0.000, 0.640], [0.000, 0.500, 0.360], [0.000, 0.000, 0.500], [0.500, 0.000, 0.872], [0.000, 0.500, 0.128], [0.500, 0.500, 0.500]], "space_group": "P-4m2 (115)", "e_form_ev_per_atom": -0.29}

---

{"formula": "Tm4AlAgHg2", "functional": "GGA-PBE", "state": "relaxed", "lattice_angstrom": [[5.133, 0.000, 0.000], [2.567, 4.446, 0.000], [2.567, 1.482, 8.380]], "species": ["Tm", "Tm", "Tm", "Tm", "Al", "Ag", "Hg", "Hg"], "frac_coords": [[0.375, 0.375, 0.874], [0.875, 0.875, 0.375], [0.125, 0.125, 0.625], [0.625, 0.625, 0.126], [0.000, 0.000, 0.000], [0.500, 0.500, 0.500], [0.750, 0.750, 0.751], [0.250, 0.250, 0.249]], "space_group": "R-3m (166)", "e_form_ev_per_atom": -0.40}

---

{"formula": "TmAlAgHg", "functional": "GGA-PBE", "state": "relaxed", "lattice_angstrom": [[4.881, 0.000, 0.000], [2.440, 4.227, 0.000], [2.440, 1.409, 3.985]], "species": ["Tm", "Hg", "Ag", "Al"], "frac_coords": [[0.000, 0.000, 0.000], [0.750, 0.750, 0.750], [0.250, 0.250, 0.250], [0.500, 0.500, 0.500]], "space_group": "F-43m (216)", "e_form_ev_per_atom": -0.29}

---

{"formula": "YAlAgHg", "functional": "GGA-PBE", "state": "relaxed", "lattice_angstrom": [[-4.147, -0.248, -2.650], [0.182, -1.329, -4.742], [-1.771, -4.380, -1.401]], "species": ["Y", "Hg", "Ag", "Al"], "frac_coords": [[0.000, 0.000, 0.000], [0.750, 0.750, 0.750], [0.250, 0.250, 0.250], [0.500, 0.500, 0.500]], "space_group": "F-43m (216)", "e_form_ev_per_atom": -0.31}

---

{"formula": "Y2Al4Ag3Hg", "functional": "GGA-PBE", "state": "relaxed", "lattice_angstrom": [[-3.739, 1.252, -1.729], [1.265, -1.511, -3.828], [-4.429, -9.868, 2.432]], "species": ["Y", "Y", "Al", "Al", "Al", "Al", "Ag", "Ag", "Ag", "Hg"], "frac_coords": [[0.500, 0.000, 0.247], [0.000, 0.500, 0.753], [0.500, 0.500, 0.000], [0.000, 0.000, 0.000], [0.500, 0.000, 0.643], [0.000, 0.500, 0.357], [0.000, 0.000, 0.500], [0.500, 0.000, 0.866], [0.000, 0.500, 0.134], [0.500, 0.500, 0.500]], "space_group": "P-4m2 (115)", "e_form_ev_per_atom": -0.31}

---

{"formula": "ZrAlAgHg", "functional": "GGA-PBE", "state": "relaxed", "lattice_angstrom": [[-3.908, -2.353, 1.496], [0.460, -3.990, 2.629], [-1.191, 0.038, 4.650]], "species": ["Zr", "Hg", "Ag", "Al"], "frac_coords": [[0.750, 0.750, 0.750], [0.000, 0.000, 0.000], [0.250, 0.250, 0.250], [0.500, 0.500, 0.500]], "space_group": "F-43m (216)", "e_form_ev_per_atom": -0.05}

---

{"formula": "Ho3Al9Ag2", "functional": "GGA-PBE", "state": "relaxed", "lattice_angstrom": [[4.303, 0.000, 0.000], [2.152, 8.017, -0.109], [2.152, 1.711, 7.833]], "species": ["Ho", "Ho", "Ho", "Al", "Al", "Al", "Al", "Al", "Al", "Al", "Al", "Al", "Ag", "Ag"], "frac_coords": [[0.000, 0.000, 0.000], [0.692, 0.308, 0.308], [0.308, 0.692, 0.692], [0.000, 0.500, 0.500], [0.660, 0.967, 0.714], [0.340, 0.033, 0.286], [0.660, 0.714, 0.967], [0.340, 0.286, 0.033], [0.864, 0.857, 0.416], [0.136, 0.143, 0.584], [0.864, 0.416, 0.857], [0.136, 0.584, 0.143], [0.500, 0.293, 0.707], [0.500, 0.707, 0.293]], "space_group": "Immm (71)", "e_form_ev_per_atom": -0.37}

---

{"formula": "HoAlAg3", "functional": "GGA-PBE", "state": "relaxed", "lattice_angstrom": [[-3.852, -0.683, -1.752], [-1.697, -6.246, 6.165], [-4.203, 7.413, 6.354]], "species": ["Ho", "Ho", "Ho", "Ho", "Al", "Al", "Al", "Al", "Ag", "Ag", "Ag", "Ag", "Ag", "Ag", "Ag", "Ag", "Ag", "Ag", "Ag", "Ag"], "frac_coords": [[0.750, 0.815, 0.997], [0.250, 0.685, 0.497], [0.750, 0.315, 0.503], [0.250, 0.185, 0.003], [0.250, 0.119, 0.644], [0.250, 0.619, 0.856], [0.750, 0.381, 0.144], [0.750, 0.881, 0.356], [0.250, 0.563, 0.096], [0.750, 0.437, 0.904], [0.250, 0.063, 0.404], [0.750, 0.937, 0.596], [0.250, 0.400, 0.698], [0.750, 0.100, 0.198], [0.250, 0.900, 0.802], [0.750, 0.640, 0.699], [0.250, 0.360, 0.301], [0.750, 0.140, 0.801], [0.750, 0.600, 0.302], [0.250, 0.860, 0.199]], "space_group": "Pnma (62)", "e_form_ev_per_atom": -0.19}

---

{"formula": "Ho2Al7Ag12", "functional": "GGA-PBE", "state": "relaxed", "lattice_angstrom": [[-2.088, -1.682, 1.750], [8.741, -3.456, 7.103], [-5.967, 9.877, 2.378]], "species": ["Ho", "Ho", "Al", "Al", "Al", "Al", "Al", "Al", "Al", "Ag", "Ag", "Ag", "Ag", "Ag", "Ag", "Ag", "Ag", "Ag", "Ag", "Ag", "Ag"], "frac_coords": [[0.247, 0.333, 0.667], [0.753, 0.667, 0.333], [0.500, 0.000, 0.000], [0.254, 0.870, 0.288], [0.254, 0.419, 0.130], [0.254, 0.712, 0.581], [0.746, 0.130, 0.712], [0.746, 0.581, 0.870], [0.746, 0.288, 0.419], [0.250, 0.621, 0.080], [0.250, 0.460, 0.379], [0.250, 0.920, 0.540], [0.750, 0.379, 0.920], [0.750, 0.540, 0.621], [0.750, 0.080, 0.460], [0.244, 0.081, 0.246], [0.244, 0.164, 0.919], [0.244, 0.754, 0.836], [0.756, 0.919, 0.754], [0.756, 0.836, 0.081], [0.756, 0.246, 0.164]], "space_group": "P-3 (147)", "e_form_ev_per_atom": -0.14}

---

{"formula": "HoAl6Ag4", "functional": "GGA-PBE", "state": "relaxed", "lattice_angstrom": [[-4.977, -4.387, -1.508], [3.899, -0.826, 5.514], [-1.369, 6.272, 2.254]], "species": ["Ho", "Al", "Al", "Al", "Al", "Al", "Al", "Ag", "Ag", "Ag", "Ag"], "frac_coords": [[0.000, 0.000, 0.000], [0.000, 0.893, 0.471], [0.000, 0.471, 0.893], [0.577, 0.107, 0.107], [0.500, 0.000, 0.500], [0.423, 0.529, 0.529], [0.500, 0.500, 0.000], [0.000, 0.237, 0.572], [0.665, 0.428, 0.428], [0.000, 0.572, 0.237], [0.335, 0.763, 0.763]], "space_group": "I-42m (121)", "e_form_ev_per_atom": -0.02}

---

{"formula": "Ho6AlAg", "functional": "GGA-PBE", "state": "relaxed", "lattice_angstrom": [[8.299, -0.222, 0.097], [3.935, 7.303, 0.136], [4.171, 2.399, 3.600]], "species": ["Ho", "Ho", "Ho", "Ho", "Ho", "Ho", "Al", "Ag"], "frac_coords": [[0.976, 0.456, 0.817], [0.750, 0.022, 0.771], [0.456, 0.249, 0.271], [0.250, 0.978, 0.229], [0.024, 0.544, 0.183], [0.544, 0.751, 0.729], [0.500, 0.500, 0.500], [0.000, 0.000, 0.000]], "space_group": "R-3 (148)", "e_form_ev_per_atom": -0.06}

---

{"formula": "Ho2Al5Ag4", "functional": "GGA-PBE", "state": "relaxed", "lattice_angstrom": [[-2.547, 4.801, -0.064], [-5.297, 0.273, 0.453], [-0.490, 2.934, 8.808]], "species": ["Ho", "Ho", "Al", "Al", "Al", "Al", "Al", "Ag", "Ag", "Ag", "Ag"], "frac_coords": [[0.898, 0.000, 0.204], [0.102, 0.000, 0.796], [0.500, 0.000, 0.000], [0.000, 0.500, 0.000], [0.500, 0.500, 0.000], [0.250, 0.500, 0.500], [0.750, 0.500, 0.500], [0.468, 0.326, 0.737], [0.532, 0.674, 0.263], [0.206, 0.326, 0.263], [0.794, 0.674, 0.737]], "space_group": "Fmmm (69)", "e_form_ev_per_atom": -0.26}

---

{"formula": "Ho2Al2Ag3", "functional": "GGA-PBE", "state": "relaxed", "lattice_angstrom": [[4.125, 0.000, -0.983], [0.000, 7.269, 0.000], [0.193, 0.000, 9.951]], "species": ["Ho", "Ho", "Ho", "Ho", "Al", "Al", "Al", "Al", "Ag", "Ag", "Ag", "Ag", "Ag", "Ag"], "frac_coords": [[0.153, 0.250, 0.306], [0.847, 0.750, 0.694], [0.943, 0.250, 0.886], [0.057, 0.750, 0.114], [0.693, 0.943, 0.387], [0.307, 0.057, 0.613], [0.307, 0.443, 0.613], [0.693, 0.557, 0.387], [0.226, 0.750, 0.452], [0.774, 0.250, 0.548], [0.565, 0.442, 0.130], [0.435, 0.558, 0.870], [0.435, 0.942, 0.870], [0.565, 0.058, 0.130]], "space_group": "Cmcm (63)", "e_form_ev_per_atom": -0.28}

---

{"formula": "HoAl2Ag2", "functional": "GGA-PBE", "state": "relaxed", "lattice_angstrom": [[-2.723, 3.540, 1.396], [-1.878, -4.199, -0.855], [0.849, -1.483, 5.418]], "species": ["Ho", "Al", "Al", "Ag", "Ag"], "frac_coords": [[0.000, 0.000, 0.000], [0.333, 0.667, 0.679], [0.667, 0.333, 0.321], [0.333, 0.667, 0.228], [0.667, 0.333, 0.772]], "space_group": "P-3m1 (164)", "e_form_ev_per_atom": -0.09}

---

no.,total moment (μB per formula unit),DOS(E_F) (states/eV per cell)
1,0.0,2.133
2,0.0,3.868
3,0.0,2.497
4,0.0,3.813
5,0.0,2.031
6,0.0,4.602
7,0.0,6.358
8,0.0,4.901
9,0.0,1.846
10,0.0,6.192
11,0.0,5.309
12,0.0,2.429
13,0.0,2.114
14,0.0,5.905
15,0.0,2.369
16,0.0,2.827
17,0.0,11.860
18,0.0,12.344
19,0.0,3.165
20,0.0,7.546
21,0.0,4.241
22,0.0,8.978
23,0.0,2.525